The following is a DFT calculation (PBE+U) of NiSbOsO after structural relaxation.

## Properties
* crystal system: orthorhombic
* volume: 17.3 Å³/atom
* polymorph energy (0 for the lowest one): 0.076 eV per atom

a = 4.031 Å, b = 3.050 Å, c = 5.634 Å
α = 90.00°, β = 90.00°, γ = 90.00°
Fractional positions:
Ni  0.500  0.500  0.457
Os  0.500  0.000  0.011
Sb  0.000  0.500  0.182
O  0.500  0.000  0.675